# 1
BaAs2BrO | PBE | optimized geometry

## Properties
DOS at the Fermi energy in states/eV/atom: 0.8948
M_tot in Bohr magnetons per cell: 7.01
E_form (uncorrected) in eV/atom: 0.78

Structure (POSCAR):
```
BaAs2BrO
1.0
6.850 0.000 0.000
0.000 6.850 0.000
0.000 0.000 6.214
Ba As Br O
1 2 1 1
Direct
0.000 0.000 0.000
0.000 0.500 0.000
0.500 0.000 0.000
0.000 0.000 0.500
0.500 0.500 0.500
```

=====

# 2
BaAsOsBr2 | PBE | optimized geometry

## Properties
DOS at the Fermi energy in states/eV/atom: 0.4531
M_tot in Bohr magnetons per cell: 0.00
E_form (uncorrected) in eV/atom: -0.42

Structure (POSCAR):
```
BaAsOsBr2
1.0
5.426 0.000 0.000
0.000 5.426 0.000
0.000 0.000 4.698
Ba As Os Br
1 1 1 2
Direct
0.000 0.000 0.000
0.500 0.500 0.000
0.500 0.500 0.500
0.000 0.500 0.500
0.500 0.000 0.500
```

=====

# 3
BaAsOsBr2 | PBE | optimized geometry

## Properties
DOS at the Fermi energy in states/eV/atom: 1.2728
M_tot in Bohr magnetons per cell: 7.02
E_form (uncorrected) in eV/atom: 1.03

Structure (POSCAR):
```
BaAsOsBr2
1.0
6.263 0.000 0.000
0.000 6.263 0.000
0.000 0.000 6.612
Ba As Os Br
1 1 1 2
Direct
0.000 0.000 0.000
0.000 0.000 0.500
0.500 0.500 0.500
0.000 0.500 0.000
0.500 0.000 0.000
```

=====

# 4
BaAs2OsBr | PBE | optimized geometry

## Properties
DOS at the Fermi energy in states/eV/atom: 1.9335
M_tot in Bohr magnetons per cell: 0.57
E_form (uncorrected) in eV/atom: 1.77

Structure (POSCAR):
```
BaAs2OsBr
1.0
6.351 0.000 0.000
0.000 6.351 0.000
0.000 0.000 6.013
Ba As Os Br
1 2 1 1
Direct
0.000 0.000 0.000
0.000 0.500 0.000
0.500 0.000 0.000
0.500 0.500 0.500
0.000 0.000 0.500
```

=====

no.,energy above the most stable polymorph in this dataset (eV/atom)
1,1.4295
2,0.0000
3,1.4475
4,2.0717